Entry 1:
4
Lattice="-2.7947 -2.1114 0.6908 2.2310 -2.6765 0.8453 0.0475 2.8852 9.0101" Properties=species:S:1:pos:R:3 comment="HgCl3 | Alexandria via LeMat-Bulk | GGA-PBE | relaxed" dos_ef_per_ev_atom=1.391 spacegroup="Pmm2 (25)" dft_energy_ev_per_atom=-1.473 magmom_total_mub_per_cell=1.03 raw_formation_energy_mev_per_atom=-13 pbc="T T T"
Hg 1.1299 -0.4657 3.1474
Cl 0.0052 0.3131 0.9778
Cl -1.3763 0.2238 4.3411
Cl -0.2432 -0.0504 8.0865

=====

Entry 2:
7
Lattice="7.2472 0.0000 0.0000 -2.4157 6.8328 0.0000 -2.4157 -3.4164 5.9173" Properties=species:S:1:pos:R:3 comment="Hg6Cl | Alexandria via LeMat-Bulk | GGA-PBE | relaxed" dos_ef_per_ev_atom=0.061 spacegroup="Im-3m (229)" dft_energy_ev_per_atom=-0.500 magmom_total_mub_per_cell=0.00 raw_formation_energy_mev_per_atom=22 pbc="T T T"
Hg -1.2079 3.4164 2.9587
Hg 1.2079 4.2705 1.4793
Hg -1.2079 0.8541 4.4380
Hg 3.6236 0.0000 2.9587
Hg 1.2079 -0.8541 4.4380
Hg 3.6236 2.5623 1.4793
Cl 0.0000 0.0000 0.0000

=====

no.,theoretical density (g/cm³)
1,4.21
2,7.02